Crystalline Rb3Y2SbTe6 at its relaxed geometry. Source: Alexandria, functional PBE-GGA.

```
Rb3Y2SbTe6
1.0
-2.787 -0.202 -7.368
5.526 -5.141 2.265
-6.989 -3.670 4.149
Rb Te Y Sb
3 6 2 1
direct
0.500 0.500 0.500
0.167 0.833 0.500
0.833 0.167 0.500
0.398 0.066 0.198
0.602 0.934 0.802
0.066 0.398 0.198
0.934 0.602 0.802
0.734 0.734 0.198
0.266 0.266 0.802
0.333 0.667 0.000
0.667 0.333 0.000
0.000 0.000 0.000
```

ΔE_f (raw): -13.26 eV per formula unit
Total DFT energy (no corrections): -4.34 eV/atom
Theoretical density: 4.788 g/cm3
Size of the total moment: 0.0 μB per formula unit
Space group: No. 12